(1)
The following is a GGA-PBE calculation of a relaxed structure of ErPuZn2, from the Alexandria database.

a = 7.104 Å, b = 7.104 Å, c = 7.104 Å
α = 90.00°, β = 90.00°, γ = 90.00°
Sites, in units of the cell vectors:
1 Er 0.000 0.000 0.000
2 Er 0.000 0.500 0.500
3 Er 0.500 0.000 0.500
4 Er 0.500 0.500 0.000
5 Pu 0.000 0.000 0.500
6 Pu 0.000 0.500 0.000
7 Pu 0.500 0.000 0.000
8 Pu 0.500 0.500 0.500
9 Zn 0.250 0.250 0.250
10 Zn 0.250 0.250 0.750
11 Zn 0.250 0.750 0.250
12 Zn 0.250 0.750 0.750
13 Zn 0.750 0.250 0.250
14 Zn 0.750 0.250 0.750
15 Zn 0.750 0.750 0.250
16 Zn 0.750 0.750 0.750

## Properties
* final energy: -5.54 eV/atom
* distance to the lowest polymorph of the same formula: 0.032 eV per formula unit
* energy of formation: -0.18 eV/atom



(2)
The following is a GGA-PBE calculation of a relaxed structure of Ca2AcNpO8, from the Alexandria database.

a = 4.848 Å, b = 7.611 Å, c = 5.129 Å
α = 90.00°, β = 92.54°, γ = 90.00°
Sites, in units of the cell vectors:
1 Ca 0.000 0.216 0.000
2 Ca 0.000 0.784 0.000
3 Ac 0.500 0.500 0.500
4 Np 0.500 0.000 0.500
5 O 0.062 0.500 0.140
6 O 0.176 0.000 0.261
7 O 0.357 0.216 0.706
8 O 0.357 0.784 0.706
9 O 0.643 0.216 0.294
10 O 0.643 0.784 0.294
11 O 0.824 0.000 0.739
12 O 0.938 0.500 0.860

## Properties
* energy relative to the elements, uncorrected: -2.64 eV/atom
* final energy: -7.70 eV/atom



(3)
The following is a GGA-PBE calculation of a relaxed structure of ZnMoHRh2, from the Alexandria database.

a = 3.951 Å, b = 3.951 Å, c = 3.912 Å
α = 90.00°, β = 90.00°, γ = 90.00°
Sites, in units of the cell vectors:
1 Zn 0.000 0.000 0.000
2 Mo 0.500 0.500 0.000
3 H 0.500 0.500 0.500
4 Rh 0.000 0.500 0.500
5 Rh 0.500 0.000 0.500

## Properties
* final energy: -6.01 eV/atom
* distance to the lowest polymorph of the same formula: 0.000 eV per formula unit



(4)
The following is a GGA-PBE calculation of a relaxed structure of Nd2Ga7Rh, from the Alexandria database.

a = 4.250 Å, b = 4.250 Å, c = 10.824 Å
α = 90.00°, β = 90.00°, γ = 90.00°
Sites, in units of the cell vectors:
1 Nd 0.000 0.500 0.246
2 Nd 0.500 0.000 0.754
3 Ga 0.000 0.000 0.000
4 Ga 0.000 0.000 0.500
5 Ga 0.000 0.500 0.641
6 Ga 0.000 0.500 0.872
7 Ga 0.500 0.000 0.128
8 Ga 0.500 0.000 0.359
9 Ga 0.500 0.500 0.500
10 Rh 0.500 0.500 0.000

## Properties
* final energy: -4.36 eV/atom
* energy of formation: -0.55 eV/atom



(5)
The following is a GGA-PBE calculation of a relaxed structure of Pm4CoPdCl2, from the Alexandria database.

a = 7.095 Å, b = 4.028 Å, c = 7.811 Å
α = 90.00°, β = 107.72°, γ = 90.00°
Sites, in units of the cell vectors:
1 Pm 0.222 0.000 0.202
2 Pm 0.243 0.500 0.795
3 Pm 0.757 0.500 0.205
4 Pm 0.778 0.000 0.798
5 Co 0.000 0.500 0.000
6 Pd 0.500 0.000 0.000
7 Cl 0.000 0.000 0.500
8 Cl 0.500 0.500 0.500

## Properties
* energy relative to the elements, uncorrected: -0.98 eV/atom
* final energy: -5.35 eV/atom



(6)
The following is a GGA-PBE calculation of a relaxed structure of Ac2PmGa, from the Alexandria database.

a = 3.935 Å, b = 3.935 Å, c = 9.095 Å
α = 90.00°, β = 90.00°, γ = 90.00°
Sites, in units of the cell vectors:
1 Ac 0.000 0.000 0.207
2 Ac 0.000 0.000 0.793
3 Pm 0.500 0.500 0.500
4 Ga 0.500 0.500 0.000

## Properties
* final energy: -4.18 eV/atom
* distance to the lowest polymorph of the same formula: 0.000 eV per formula unit
* energy of formation: -0.18 eV/atom



(7)
The following is a GGA-PBE calculation of a relaxed structure of ZrBe2Cu9, from the Alexandria database.

a = 7.562 Å, b = 7.562 Å, c = 7.562 Å
α = 99.71°, β = 99.71°, γ = 131.50°
Sites, in units of the cell vectors:
1 Zr 0.375 0.625 0.750
2 Zr 0.625 0.375 0.250
3 Be 0.000 0.000 0.000
4 Be 0.000 0.000 0.500
5 Be 0.000 0.500 0.000
6 Be 0.500 0.000 0.500
7 Cu 0.125 0.875 0.250
8 Cu 0.134 0.562 0.328
9 Cu 0.134 0.806 0.572
10 Cu 0.194 0.266 0.328
11 Cu 0.194 0.866 0.928
12 Cu 0.266 0.194 0.828
13 Cu 0.266 0.438 0.072
14 Cu 0.438 0.266 0.572
15 Cu 0.438 0.866 0.172
16 Cu 0.562 0.134 0.828
17 Cu 0.562 0.734 0.428
18 Cu 0.734 0.562 0.928
19 Cu 0.734 0.806 0.172
20 Cu 0.806 0.134 0.072
21 Cu 0.806 0.734 0.672
22 Cu 0.866 0.194 0.428
23 Cu 0.866 0.438 0.672
24 Cu 0.875 0.125 0.750

## Properties
* final energy: -4.45 eV/atom
* energy of formation: -0.04 eV/atom



(8)
The following is a GGA-PBE calculation of a relaxed structure of Mg2CrCu, from the Alexandria database.

a = 6.444 Å, b = 6.444 Å, c = 6.444 Å
α = 90.00°, β = 90.00°, γ = 90.00°
Sites, in units of the cell vectors:
1 Mg 0.250 0.250 0.250
2 Mg 0.250 0.250 0.750
3 Mg 0.250 0.750 0.250
4 Mg 0.250 0.750 0.750
5 Mg 0.750 0.250 0.250
6 Mg 0.750 0.250 0.750
7 Mg 0.750 0.750 0.250
8 Mg 0.750 0.750 0.750
9 Cr 0.000 0.000 0.000
10 Cr 0.000 0.500 0.500
11 Cr 0.500 0.000 0.500
12 Cr 0.500 0.500 0.000
13 Cu 0.000 0.000 0.500
14 Cu 0.000 0.500 0.000
15 Cu 0.500 0.000 0.000
16 Cu 0.500 0.500 0.500

## Properties
* final energy: -3.99 eV/atom
* distance to the lowest polymorph of the same formula: 0.055 eV per formula unit
* energy of formation: 0.23 eV/atom



(9)
The following is a GGA-PBE calculation of a relaxed structure of ZnSb2Pb, from the Alexandria database.

a = 4.344 Å, b = 4.344 Å, c = 20.498 Å
α = 90.00°, β = 90.00°, γ = 120.00°
Sites, in units of the cell vectors:
1 Zn 0.000 0.000 0.000
2 Zn 0.333 0.667 0.667
3 Zn 0.667 0.333 0.333
4 Sb 0.000 0.000 0.394
5 Sb 0.000 0.000 0.594
6 Sb 0.333 0.667 0.061
7 Sb 0.333 0.667 0.261
8 Sb 0.667 0.333 0.728
9 Sb 0.667 0.333 0.928
10 Pb 0.000 0.000 0.831
11 Pb 0.333 0.667 0.498
12 Pb 0.667 0.333 0.164

## Properties
* energy relative to the elements, uncorrected: 0.11 eV/atom
* final energy: -3.20 eV/atom



(10)
The following is a GGA-PBE calculation of a relaxed structure of Tm2Cu2Pd3, from the Alexandria database.

a = 8.359 Å, b = 4.618 Å, c = 7.463 Å
α = 90.00°, β = 120.62°, γ = 90.00°
Sites, in units of the cell vectors:
1 Tm 0.244 0.000 0.313
2 Tm 0.256 0.500 0.687
3 Tm 0.744 0.500 0.313
4 Tm 0.756 0.000 0.687
5 Cu 0.192 0.000 0.899
6 Cu 0.308 0.500 0.101
7 Cu 0.692 0.500 0.899
8 Cu 0.808 0.000 0.101
9 Pd 0.000 0.000 0.500
10 Pd 0.030 0.500 0.213
11 Pd 0.470 0.000 0.787
12 Pd 0.500 0.500 0.500
13 Pd 0.530 0.000 0.213
14 Pd 0.970 0.500 0.787

## Properties
* final energy: -5.31 eV/atom
* energy of formation: -0.63 eV/atom



(11)
The following is a GGA-PBE calculation of a relaxed structure of SmTmScAl, from the Alexandria database.

a = 7.418 Å, b = 7.418 Å, c = 7.418 Å
α = 90.00°, β = 90.00°, γ = 90.00°
Sites, in units of the cell vectors:
1 Sm 0.000 0.000 0.000
2 Sm 0.000 0.500 0.500
3 Sm 0.500 0.000 0.500
4 Sm 0.500 0.500 0.000
5 Tm 0.000 0.000 0.500
6 Tm 0.000 0.500 0.000
7 Tm 0.500 0.000 0.000
8 Tm 0.500 0.500 0.500
9 Sc 0.250 0.250 0.750
10 Sc 0.250 0.750 0.250
11 Sc 0.750 0.250 0.250
12 Sc 0.750 0.750 0.750
13 Al 0.250 0.250 0.250
14 Al 0.250 0.750 0.750
15 Al 0.750 0.250 0.750
16 Al 0.750 0.750 0.250

## Properties
* final energy: -4.92 eV/atom
* energy of formation: -0.10 eV/atom



(12)
The following is a GGA-PBE calculation of a relaxed structure of Pm3HgP2Rh9, from the Alexandria database.

a = 6.050 Å, b = 6.050 Å, c = 9.616 Å
α = 90.00°, β = 90.00°, γ = 120.00°
Sites, in units of the cell vectors:
1 Pm 0.000 0.000 0.000
2 Pm 0.333 0.667 0.718
3 Pm 0.667 0.333 0.282
4 Hg 0.000 0.000 0.500
5 P 0.333 0.667 0.156
6 P 0.667 0.333 0.844
7 Rh 0.000 0.500 0.000
8 Rh 0.149 0.298 0.262
9 Rh 0.149 0.851 0.262
10 Rh 0.298 0.149 0.738
11 Rh 0.500 0.000 0.000
12 Rh 0.500 0.500 0.000
13 Rh 0.702 0.851 0.262
14 Rh 0.851 0.149 0.738
15 Rh 0.851 0.702 0.738

## Properties
* final energy: -6.64 eV/atom
* energy of formation: -0.53 eV/atom